Below is crystalline Na2Bi4Pd3 at its relaxed geometry, with properties calculated at the PBE level.

Properties
ΔE_f (kJ/mol of formula units): -283.3
Total DFT energy (no corrections) (eV per atom): -4.08
Space-group type: Fmmm

a b c (Å): 5.981 5.981 8.135
angles (deg): 100.40 100.40 120.60
Fractional positions:
Bi1 0.985 0.311 0.295
Bi2 0.015 0.689 0.705
Bi3 0.311 0.985 0.295
Bi4 0.689 0.015 0.705
Pd1 0.000 0.500 0.000
Pd2 0.500 0.000 0.000
Pd3 0.000 0.000 0.000
Na1 0.601 0.601 0.202
Na2 0.399 0.399 0.798